Entry 1:
VASP calculation (GGA-PBE) on an optimized crystal structure of Zr3TiIn.

a b c (Å): 5.246 5.246 5.246
angles (deg): 90.00 90.00 90.00
Fractional coordinates of all 5 atoms:
Zr1 0.000 0.000 0.500
Zr2 0.000 0.500 0.000
Zr3 0.500 0.000 0.000
Ti1 0.500 0.500 0.500
In1 0.000 0.000 0.000

Summary:
**ΔE to the lowest computed polymorph**: 6.99 eV/f.u.
**Energy of formation from the pure elements**: 1267 meV/atom
**Crystal system**: cubic



Entry 2:
VASP calculation (GGA-PBE) on an optimized crystal structure of LaTlZn2.

a b c (Å): 4.788 4.788 4.259
angles (deg): 90.00 90.00 90.00
Fractional coordinates of all 4 atoms:
La1 0.000 0.000 0.000
Tl1 0.500 0.500 0.000
Zn1 0.000 0.500 0.500
Zn2 0.500 0.000 0.500

Summary:
**Energy of formation from the pure elements**: -198 meV/atom
**Crystal system**: tetragonal



Entry 3:
VASP calculation (GGA-PBE) on an optimized crystal structure of Tb4Tm3Cd.

a b c (Å): 7.263 7.263 7.263
angles (deg): 130.08 104.56 96.01
Fractional coordinates of all 8 atoms:
Tb1 0.172 0.000 0.172
Tb2 0.529 0.280 0.751
Tb3 0.529 0.778 0.249
Tb4 0.828 0.000 0.828
Tm1 0.002 0.683 0.320
Tm2 0.363 0.683 0.680
Tm3 0.850 0.350 0.500
Cd1 0.263 0.263 0.000

Summary:
**ΔE to the lowest computed polymorph**: 3.56 eV/f.u.
**Energy of formation from the pure elements**: 386 meV/atom
**Crystal system**: orthorhombic



Entry 4:
VASP calculation (GGA-PBE) on an optimized crystal structure of Th5Ge2Sb.

a b c (Å): 9.068 9.068 9.068
angles (deg): 127.78 127.78 76.98
Fractional coordinates of all 16 atoms:
Th1 0.000 0.000 0.000
Th2 0.011 0.511 0.812
Th3 0.199 0.011 0.500
Th4 0.301 0.801 0.812
Th5 0.489 0.301 0.500
Th6 0.500 0.500 0.000
Th7 0.511 0.699 0.500
Th8 0.699 0.199 0.188
Th9 0.801 0.989 0.500
Th10 0.989 0.489 0.188
Ge1 0.141 0.359 0.500
Ge2 0.359 0.859 0.218
Ge3 0.641 0.141 0.782
Ge4 0.859 0.641 0.500
Sb1 0.250 0.250 0.000
Sb2 0.750 0.750 0.000

Summary:
**Crystal system**: tetragonal
**Energy relative to the elements, uncorrected**: -0.640 eV/atom



Entry 5:
VASP calculation (GGA-PBE) on an optimized crystal structure of SrZn4Pd2.

a b c (Å): 7.785 7.785 4.229
angles (deg): 90.00 90.00 90.00
Fractional coordinates of all 14 atoms:
Sr1 0.000 0.000 0.000
Sr2 0.500 0.500 0.500
Zn1 0.092 0.353 0.500
Zn2 0.147 0.592 0.000
Zn3 0.353 0.092 0.500
Zn4 0.408 0.853 0.000
Zn5 0.592 0.147 0.000
Zn6 0.647 0.908 0.500
Zn7 0.853 0.408 0.000
Zn8 0.908 0.647 0.500
Pd1 0.223 0.777 0.500
Pd2 0.277 0.277 0.000
Pd3 0.723 0.723 0.000
Pd4 0.777 0.223 0.500

Summary:
**ΔE to the lowest computed polymorph**: 0.00 eV/f.u.
**Energy of formation from the pure elements**: -475 meV/atom
**Crystal system**: tetragonal



Entry 6:
VASP calculation (GGA-PBE) on an optimized crystal structure of AcPu2O7.

a b c (Å): 6.292 6.292 4.102
angles (deg): 90.00 90.00 113.83
Fractional coordinates of all 10 atoms:
Ac1 0.000 0.000 0.000
Pu1 0.304 0.696 0.500
Pu2 0.696 0.304 0.500
O1 0.052 0.316 0.500
O2 0.280 0.720 0.000
O3 0.316 0.052 0.500
O4 0.500 0.500 0.500
O5 0.684 0.948 0.500
O6 0.720 0.280 0.000
O7 0.948 0.684 0.500

Summary:
**ΔE to the lowest computed polymorph**: 0.22 eV/f.u.
**Crystal system**: orthorhombic
**Energy relative to the elements, uncorrected**: -2.742 eV/atom



Entry 7:
VASP calculation (GGA-PBE) on an optimized crystal structure of DySc2Cl.

a b c (Å): 9.539 9.539 9.539
angles (deg): 20.66 20.66 20.66
Fractional coordinates of all 4 atoms:
Dy1 0.000 0.000 0.000
Sc1 0.238 0.238 0.238
Sc2 0.762 0.762 0.762
Cl1 0.500 0.500 0.500

Summary:
**Crystal system**: trigonal
**Energy relative to the elements, uncorrected**: -0.587 eV/atom



Entry 8:
VASP calculation (GGA-PBE) on an optimized crystal structure of CaCe2TlN.

a b c (Å): 4.899 4.899 5.029
angles (deg): 90.00 90.00 90.00
Fractional coordinates of all 5 atoms:
Ca1 0.000 0.000 0.000
Ce1 0.000 0.500 0.500
Ce2 0.500 0.000 0.500
Tl1 0.500 0.500 0.000
N1 0.000 0.000 0.500

Summary:
**Crystal system**: tetragonal
**Energy relative to the elements, uncorrected**: -0.734 eV/atom